## YTmRuRh (PBE)

Data for a relaxed YTmRuRh crystal.

The total energy is -7.545 eV per atom. Its total magnetization is 0.000 μB per cell. For the formation energy, the calculation gives -654.5 meV/atom. The density of states at the Fermi level is 6.30 states/eV per cell.

It has space group F-43m (No. 216), with a = 6.7879 Å, b = 6.7879 Å, c = 6.7879 Å, α = 90.00°, β = 90.00° and γ = 90.00°. The distinct sites, in fractional coordinates, are Y at (0.0000, 0.0000, 0.0000), Tm at (0.0000, 0.0000, 0.5000), Ru at (0.2500, 0.2500, 0.2500) and Rh at (0.2500, 0.2500, 0.7500).

---

## TmZnRuRh (PBE)

Data for a relaxed TmZnRuRh crystal.

The total energy is -5.980 eV per atom. Its total magnetization is 0.000 μB per cell. For the formation energy, the calculation gives -386.5 meV/atom. The density of states at the Fermi level is 14.76 states/eV per cell.

It has space group F-43m (No. 216), with a = 6.3868 Å, b = 6.3868 Å, c = 6.3868 Å, α = 90.00°, β = 90.00° and γ = 90.00°. The distinct sites, in fractional coordinates, are Tm at (0.0000, 0.0000, 0.0000), Zn at (0.0000, 0.0000, 0.5000), Ru at (0.2500, 0.2500, 0.2500) and Rh at (0.2500, 0.2500, 0.7500).

---

## TmZrRuRh (PBE)

Data for a relaxed TmZrRuRh crystal.

The total energy is -8.139 eV per atom. Its total magnetization is 0.000 μB per cell. For the formation energy, the calculation gives -727.6 meV/atom. The density of states at the Fermi level is 6.71 states/eV per cell.

It has space group F-43m (No. 216), with a = 6.6508 Å, b = 6.6508 Å, c = 6.6508 Å, α = 90.00°, β = 90.00° and γ = 90.00°. The distinct sites, in fractional coordinates, are Tm at (0.0000, 0.0000, 0.0000), Zr at (0.0000, 0.0000, 0.5000), Ru at (0.2500, 0.2500, 0.7500) and Rh at (0.2500, 0.2500, 0.2500).

---

no.,theoretical density (Mg/m³)
1,9.8
2,11.2
3,10.5